# SrTmHg6

An optimized crystal structure of SrTmHg6 (PBE, the Alexandria database).

Lattice parameters (Å, degrees): 8.8189 8.8189 11.0841 90.00 90.00 120.00
Space group R-3m (No. 166, hexagonal axes)
Unique sites:
1 Sr 0.0000 0.0000 0.0000 [3 per cell]
2 Tm 0.0000 0.0000 0.5000 [3 per cell]
3 Hg 0.0920 0.5460 0.3827 [18 per cell]

total moment: 0.00 Bohr magnetons per cell
energy of formation from the pure elements: -0.15 eV per atom

***

# MnTc2Ni

An optimized crystal structure of MnTc2Ni (PBE, the Alexandria database).

Lattice parameters (Å, degrees): 5.8958 5.8958 5.8958 90.00 90.00 90.00
Space group Fm-3m (No. 225)
Unique sites:
1 Mn 0.0000 0.0000 0.0000 [4 per cell]
2 Tc 0.2500 0.2500 0.2500 [8 per cell]
3 Ni 0.0000 0.0000 0.5000 [4 per cell]

total moment: 0.00 Bohr magnetons per cell
energy of formation from the pure elements: 0.23 eV per atom
polymorph energy (0 for the lowest one): 237 meV/atom

***

# PrSc2Se

An optimized crystal structure of PrSc2Se (PBE, the Alexandria database).

Lattice parameters (Å, degrees): 3.5757 3.5757 29.5550 90.00 90.00 120.00
Space group R-3m (No. 166, hexagonal axes)
Unique sites:
1 Pr 0.0000 0.0000 0.0000 [3 per cell]
2 Sc 0.0000 0.0000 0.1108 [6 per cell]
3 Se 0.0000 0.0000 0.5000 [3 per cell]

total moment: 0.00 Bohr magnetons per cell
energy relative to the elements, uncorrected: -0.5285 eV/atom
polymorph energy (0 for the lowest one): 187 meV/atom

***

# KMgTlHg2

An optimized crystal structure of KMgTlHg2 (PBE, the Alexandria database).

Lattice parameters (Å, degrees): 5.5690 5.5690 5.5930 90.00 90.00 90.00
Space group P4/mmm (No. 123)
Unique sites:
1 K 0.0000 0.0000 0.0000 [1 per cell]
2 Mg 0.5000 0.5000 0.5000 [1 per cell]
3 Tl 0.5000 0.5000 0.0000 [1 per cell]
4 Hg 0.0000 0.5000 0.5000 [2 per cell]

total moment: 0.00 Bohr magnetons per cell
energy of formation from the pure elements: -0.05 eV per atom

***

# BaLaB2

An optimized crystal structure of BaLaB2 (PBE, the Alexandria database).

Lattice parameters (Å, degrees): 7.1000 7.1000 7.1000 90.00 90.00 90.00
Space group Fm-3m (No. 225)
Unique sites:
1 Ba 0.0000 0.0000 0.0000 [4 per cell]
2 La 0.0000 0.0000 0.5000 [4 per cell]
3 B 0.2500 0.2500 0.2500 [8 per cell]

total moment: 0.00 Bohr magnetons per cell
energy of formation from the pure elements: 0.86 eV per atom
polymorph energy (0 for the lowest one): 0 meV/atom

***

# CaAgP2

An optimized crystal structure of CaAgP2 (PBE, the Alexandria database).

Lattice parameters (Å, degrees): 4.4596 4.4902 7.6782 90.00 90.00 90.00
Space group Cmmm (No. 65)
Unique sites:
1 Ca 0.0000 0.0000 0.0000 [2 per cell]
2 Ag 0.0000 0.0000 0.5000 [2 per cell]
3 P 0.0000 0.5000 0.2623 [4 per cell]

total moment: 0.00 Bohr magnetons per cell
energy of formation from the pure elements: -0.02 eV per atom